(1)
## TlIn3Sn2 (PBE-GGA)

Data for TlIn3Sn2 after structural relaxation.

Cell lengths 6.505, 7.383, 7.383 Å; angles 92.81, 90.00, 90.00 degrees
Positions (direct):
Sn1 0.500 0.235 0.765
Sn2 0.500 0.765 0.235
Sn3 0.000 0.235 0.765
Sn4 0.000 0.765 0.235
In1 0.750 0.110 0.402
In2 0.750 0.402 0.110
In3 0.250 0.598 0.890
In4 0.250 0.890 0.598
In5 0.750 0.895 0.895
In6 0.250 0.105 0.105
Tl1 0.250 0.413 0.413
Tl2 0.750 0.587 0.587

Calculated values
Calculated total energy ... -36.57 eV/cell
ΔH_f (0 K) ... 0.05 eV per atom
E above lowest polymorph ... 0.018 eV/atom
Total moment ... 0.00 μB/f.u.
Theoretical density ... 7.374 g/cm3

(2)
## Ti3S2 (PBE-GGA)

Data for Ti3S2 after structural relaxation.

Cell lengths 5.861, 6.271, 8.734 Å; angles 90.00, 90.00, 90.00 degrees
Positions (direct):
S1 0.752 0.952 0.396
S2 0.748 0.452 0.104
S3 0.252 0.952 0.104
S4 0.748 0.048 0.896
S5 0.252 0.548 0.896
S6 0.248 0.048 0.604
S7 0.752 0.548 0.604
S8 0.248 0.452 0.396
Ti1 0.059 0.250 0.000
Ti2 0.388 0.601 0.162
Ti3 0.559 0.250 0.500
Ti4 0.112 0.399 0.662
Ti5 0.388 0.899 0.838
Ti6 0.888 0.899 0.662
Ti7 0.612 0.101 0.162
Ti8 0.612 0.399 0.838
Ti9 0.888 0.601 0.338
Ti10 0.941 0.750 0.000
Ti11 0.112 0.101 0.338
Ti12 0.441 0.750 0.500

Calculated values
Calculated total energy ... -147.40 eV/cell
E above lowest polymorph ... 0.000 eV/atom
Total moment ... 0.00 μB/f.u.
Theoretical density ... 4.298 g/cm3
Raw formation energy ... -982 meV/atom

(3)
## Li2TlVSe4 (PBE-GGA)

Data for Li2TlVSe4 after structural relaxation.

Cell lengths 6.536, 6.536, 6.536 Å; angles 115.96, 115.96, 97.16 degrees
Positions (direct):
Se1 0.034 0.034 0.380
Se2 0.966 0.346 0.000
Se3 0.654 0.654 0.620
Se4 0.346 0.966 0.000
Li1 0.250 0.750 0.500
Li2 0.750 0.250 0.500
V1 0.000 0.000 0.000
Tl1 0.500 0.500 0.000

Calculated values
Calculated total energy ... -35.51 eV/cell
Total moment ... 0.00 μB/f.u.
Theoretical density ... 4.676 g/cm3
Raw formation energy ... -782 meV/atom

(4)
## SrDyP2Pd4 (PBE-GGA)

Data for SrDyP2Pd4 after structural relaxation.

Cell lengths 4.103, 4.103, 9.819 Å; angles 90.00, 90.00, 90.00 degrees
Positions (direct):
Dy1 0.000 0.000 0.000
Pd1 0.500 0.000 0.788
Pd2 0.000 0.500 0.788
Pd3 0.000 0.500 0.212
Pd4 0.500 0.000 0.212
P1 0.500 0.500 0.668
P2 0.500 0.500 0.332
Sr1 0.000 0.000 0.500

Calculated values
Calculated total energy ... -43.92 eV/cell
ΔH_f (0 K) ... -0.76 eV per atom
Total moment ... 0.00 μB/f.u.
Theoretical density ... 7.412 g/cm3

(5)
## Si3Tc2Ni2 (PBE-GGA)

Data for Si3Tc2Ni2 after structural relaxation.

Cell lengths 4.113, 4.111, 6.696 Å; angles 89.83, 107.68, 120.02 degrees
Positions (direct):
Ni1 0.254 0.126 0.385
Ni2 0.746 0.874 0.615
Si1 0.000 0.000 0.000
Si2 0.501 0.750 0.255
Si3 0.499 0.250 0.745
Tc1 0.242 0.621 0.860
Tc2 0.758 0.379 0.140

Calculated values
Calculated total energy ... -50.90 eV/cell
Total moment ... 0.00 μB/f.u.
Theoretical density ... 7.189 g/cm3
Raw formation energy ... -333 meV/atom

(6)
## BeHPd2 (PBE-GGA)

Data for BeHPd2 after structural relaxation.

Cell lengths 2.753, 2.753, 5.524 Å; angles 90.00, 90.00, 90.00 degrees
Positions (direct):
Pd1 0.000 0.000 0.756
Pd2 0.000 0.000 0.244
H1 0.500 0.500 0.000
Be1 0.500 0.500 0.500

Calculated values
Calculated total energy ... -18.16 eV/cell
E above lowest polymorph ... 0.187 eV/atom
Total moment ... 0.00 μB/f.u.
Theoretical density ... 8.839 g/cm3

(7)
## LiAlFeMo (PBE-GGA)

Data for LiAlFeMo after structural relaxation.

Cell lengths 4.140, 4.140, 4.140 Å; angles 60.00, 60.00, 60.00 degrees
Positions (direct):
Al1 0.000 0.000 0.000
Fe1 0.250 0.250 0.250
Li1 0.750 0.750 0.750
Mo1 0.500 0.500 0.500

Calculated values
Calculated total energy ... -25.65 eV/cell
ΔH_f (0 K) ... -0.18 eV per atom
Total moment ... 0.00 μB/f.u.
Theoretical density ... 6.146 g/cm3

(8)
## Ba2CoN2 (PBE-GGA)

Data for Ba2CoN2 after structural relaxation.

Cell lengths 4.119, 4.119, 7.068 Å; angles 106.95, 106.95, 90.00 degrees
Site moments in Bohr magnetons follow the coordinates.
Positions (direct):
N1 0.134 0.134 0.267  0.03
N2 0.866 0.866 0.733  0.03
Ba1 0.642 0.642 0.284  0.02
Ba2 0.358 0.358 0.716  0.02
Co1 0.000 0.000 0.000  0.82

Calculated values
Calculated total energy ... -29.48 eV/cell
Total moment ... 1.00 μB/f.u.
Theoretical density ... 5.495 g/cm3
Raw formation energy ... -375 meV/atom

Q: Which value of calculated total energy does entry 5 give?
A: -50.90 eV/cell

Q: Look up the calculated total energy of the first one.
A: -36.57 eV/cell